# NbNi3O (PBE with a Hubbard U, optimized geometry)
data_NbNi3O
_cell_length_a 4.457
_cell_length_b 4.457
_cell_length_c 4.457
_cell_angle_alpha 90.00
_cell_angle_beta 90.00
_cell_angle_gamma 90.00
_symmetry_space_group_name_H-M 'P 1'
_symmetry_Int_Tables_number 1
loop_
_symmetry_equiv_pos_as_xyz
'x,y,z'
loop_
_atom_site_label
_atom_site_type_symbol
_atom_site_fract_x
_atom_site_fract_y
_atom_site_fract_z
_atom_site_occupancy
Ni1 Ni 0.000 0.500 0.000 1
Ni2 Ni 0.500 0.000 0.000 1
Ni3 Ni 0.000 0.000 0.500 1
O1 O 0.500 0.500 0.500 1
Nb1 Nb 0.000 0.000 0.000 1
# - Energy relative to the lowest polymorph listed for this composition: 10.04 eV per formula unit
# - V: 88.6 Å³ per cell
# - Space group: Pm-3m
# - Total moment: 0.001 μB/f.u.